# PBE-GGA Si2TcIr, optimized geometry
# DOS(E_F)   0.5874 states/eV/atom
# Total magnetic moment   0.00 μB/f.u.
# Formation energy (no corrections)   -0.139 eV/atom
# Crystal system   orthorhombic
data_Si2TcIr
_space_group_name_H-M_alt 'I m m m'
_space_group_IT_number 71
_space_group_name_Hall '-I 2 2'
_cell_length_a 2.867
_cell_length_b 5.036
_cell_length_c 7.903
_cell_angle_alpha 90.00
_cell_angle_beta 90.00
_cell_angle_gamma 90.00
loop_
_atom_site_label
_atom_site_type_symbol
_atom_site_fract_x
_atom_site_fract_y
_atom_site_fract_z
Si1 Si 0.000 0.000 0.249
Tc1 Tc 0.000 0.500 0.000
Ir1 Ir 0.000 0.500 0.500

# PBE-GGA Si2TcIr, optimized geometry
# DOS(E_F)   0.5138 states/eV/atom
# Total magnetic moment   0.00 μB/f.u.
# Formation energy (no corrections)   0.322 eV/atom
# Crystal system   tetragonal
data_Si2TcIr
_space_group_name_H-M_alt 'I -4 2 d'
_space_group_IT_number 122
_space_group_name_Hall 'I -4 2bw'
_cell_length_a 5.563
_cell_length_b 5.563
_cell_length_c 10.039
_cell_angle_alpha 90.00
_cell_angle_beta 90.00
_cell_angle_gamma 90.00
loop_
_atom_site_label
_atom_site_type_symbol
_atom_site_fract_x
_atom_site_fract_y
_atom_site_fract_z
Si1 Si 0.242 0.250 0.125
Tc1 Tc 0.000 0.000 0.500
Ir1 Ir 0.000 0.000 0.000

# PBE-GGA SiTcIr2, optimized geometry
# DOS(E_F)   0.7349 states/eV/atom
# Total magnetic moment   0.38 μB/f.u.
# Formation energy (no corrections)   0.020 eV/atom
# Crystal system   tetragonal
data_SiTcIr2
_space_group_name_H-M_alt 'P 4/m m m'
_space_group_IT_number 123
_space_group_name_Hall '-P 4 2'
_cell_length_a 4.589
_cell_length_b 4.589
_cell_length_c 2.728
_cell_angle_alpha 90.00
_cell_angle_beta 90.00
_cell_angle_gamma 90.00
loop_
_atom_site_label
_atom_site_type_symbol
_atom_site_fract_x
_atom_site_fract_y
_atom_site_fract_z
Si1 Si 0.000 0.000 0.000
Tc1 Tc 0.500 0.500 0.000
Ir1 Ir 0.000 0.500 0.500